(1)
NdAlZn, relaxed, DFT PBE; space group = Cmcm (63); spin magnetization = 0.000 μB/atom; calculated formation energy = -192 meV/atom
1.0
1.7931 -8.3519 0.0000
1.7931 8.3519 0.0000
0.0000 0.0000 4.5852
Nd Al Zn
2 2 2
Direct
0.1088 0.8912 0.7500
0.8912 0.1088 0.2500
0.2932 0.7068 0.7500
0.7068 0.2932 0.2500
0.4564 0.5436 0.7500
0.5436 0.4564 0.2500

***

(2)
La6PrTh2, relaxed, DFT PBE; space group = P-6m2 (187); spin magnetization = 0.000 μB/atom; calculated formation energy = 67 meV/atom
1.0
3.6582 0.0000 0.0000
-1.8291 3.1681 0.0000
0.0000 0.0000 27.7993
La Pr Th
6 1 2
Direct
0.0000 0.0000 0.0629
0.0000 0.0000 0.2750
0.0000 0.0000 0.7250
0.0000 0.0000 0.9371
0.3333 0.6667 0.3895
0.3333 0.6667 0.6105
0.0000 0.0000 0.5000
0.3333 0.6667 0.1683
0.3333 0.6667 0.8317

***

(3)
Ta3Co, relaxed, DFT PBE; space group = P6_3/mmc (194); spin magnetization = 0.157 μB/atom; calculated formation energy = 189 meV/atom
1.0
5.6129 0.0000 0.0000
-2.8064 4.8609 0.0000
0.0000 0.0000 4.8662
Ta Co
6 2
Direct
0.1698 0.3395 0.2500
0.1698 0.8302 0.2500
0.3395 0.1698 0.7500
0.6605 0.8302 0.2500
0.8302 0.1698 0.7500
0.8302 0.6605 0.7500
0.3333 0.6667 0.7500
0.6667 0.3333 0.2500

***

(4)
Sc4FeNi3, relaxed, DFT PBE; space group = P4/mmm (123); spin magnetization = 0.000 μB/atom; calculated formation energy = -411 meV/atom
1.0
3.1343 0.0000 0.0000
0.0000 3.1343 0.0000
0.0000 0.0000 12.7458
Sc Fe Ni
4 1 3
Direct
0.0000 0.0000 0.1186
0.0000 0.0000 0.3732
0.0000 0.0000 0.6268
0.0000 0.0000 0.8814
0.5000 0.5000 0.0000
0.5000 0.5000 0.2496
0.5000 0.5000 0.5000
0.5000 0.5000 0.7504

***

(5)
SnOs3W, relaxed, DFT PBE; E above lowest polymorph = 456 kJ/mol of formula units; space group = Pm-3m (221); spin magnetization = 0.000 μB/atom; calculated formation energy = 2983 meV/atom
1.0
4.6974 0.0000 0.0000
0.0000 4.6974 0.0000
0.0000 0.0000 4.6974
Sn Os W
1 3 1
Direct
0.0000 0.0000 0.0000
0.0000 0.0000 0.5000
0.0000 0.5000 0.0000
0.5000 0.0000 0.0000
0.5000 0.5000 0.5000

***

(6)
YScMn2Pd, relaxed, DFT PBE; space group = P4/mmm (123); spin magnetization = 0.027 μB/atom; calculated formation energy = 1094 meV/atom
1.0
4.6989 0.0000 0.0000
0.0000 4.6989 0.0000
0.0000 0.0000 5.0063
Y Sc Mn Pd
1 1 2 1
Direct
0.0000 0.0000 0.0000
0.5000 0.5000 0.0000
0.0000 0.5000 0.5000
0.5000 0.0000 0.5000
0.0000 0.0000 0.5000

***

(7)
Co2PbAu, relaxed, DFT PBE; space group = I-4m2 (119); spin magnetization = 0.748 μB/atom; calculated formation energy = 461 meV/atom
1.0
-1.9796 1.9796 4.1333
1.9796 -1.9796 4.1333
1.9796 1.9796 -4.1333
Co Pb Au
2 1 1
Direct
0.0000 0.0000 0.0000
0.7500 0.2500 0.5000
0.2500 0.7500 0.5000
0.5000 0.5000 0.0000

***

(8)
HfBi2Pb, relaxed, DFT PBE; space group = R3m (160); spin magnetization = 0.000 μB/atom; calculated formation energy = 64 meV/atom
1.0
2.0858 1.2042 8.2998
-2.0858 1.2042 8.2998
0.0000 -2.4084 8.2998
Hf Bi Pb
1 2 1
Direct
0.0000 0.0000 0.0000
0.4073 0.4073 0.4073
0.5953 0.5953 0.5953
0.1633 0.1633 0.1633

***

Q: Look up the spin magnetization of the sixth one.
A: 0.027 μB/atom